Crystalline Mg3Te at its relaxed geometry, computed with PBE.

Formation energy from raw total energies = -0.142 eV/atom
Polymorph energy (0 for the lowest one) = 67 meV per atom
Spin magnetization = 0.00 μB per atom

Structure (CIF):
```
data_Mg3Te
_chemical_formula_sum 'Mg12 Te4'
_space_group_name_H-M_alt 'C m c m'
_space_group_IT_number 63
_space_group_name_Hall '-C 2c 2'
_cell_length_a 6.211
_cell_length_b 11.585
_cell_length_c 5.544
_cell_angle_alpha 90.00
_cell_angle_beta 90.00
_cell_angle_gamma 90.00
loop_
_atom_site_label
_atom_site_type_symbol
_atom_site_fract_x
_atom_site_fract_y
_atom_site_fract_z
_atom_site_occupancy
Mg1 Mg 0.000 0.162 0.250 1
Mg2 Mg 0.243 0.088 0.750 1
Te1 Te 0.000 0.356 0.750 1
```